The following is a DFT calculation (meta-GGA SCAN) of CrReRu2 at its PBEsol-relaxed geometry.

The space group is Fm-3m (No. 225) and the conventional cell measures 6.029, 6.029 and 6.029 Å, with angles of 90.00, 90.00 and 90.00 degrees. The inequivalent atoms are Cr at (0.000, 0.000, 0.000), Re at (0.000, 0.000, 0.500) and Ru at (0.250, 0.250, 0.250).

The total energy comes out at -39.58 eV/atom. The value obtained for the calculated formation energy is 202 meV/atom.